1.
PrZrNi2: relaxed, GGA-PBE.

- magnetic moment (Bohr magnetons per cell) = 0.0
- relative energy among the computed polymorphs (eV per atom) = 0.021
- ΔE_f (meV/atom) = -266.6
- calculated total energy (eV per atom) = -6.49

Structure (CIF):
```
data_PrZrNi2
_space_group_name_H-M_alt 'R -3 m'
_space_group_IT_number 166
_space_group_name_Hall '-R 3 2"'
_cell_length_a 4.4145
_cell_length_b 4.4145
_cell_length_c 14.6109
_cell_angle_alpha 90.00
_cell_angle_beta 90.00
_cell_angle_gamma 120.00
loop_
_atom_site_label
_atom_site_type_symbol
_atom_site_fract_x
_atom_site_fract_y
_atom_site_fract_z
Pr1 Pr 0.0000 0.0000 0.0000
Zr1 Zr 0.0000 0.0000 0.5000
Ni1 Ni 0.0000 0.0000 0.2062
```

=====

2.
ErTm3Cd2: relaxed, GGA-PBE.

- magnetic moment (Bohr magnetons per cell) = 0.0
- ΔE_f (meV/atom) = -192.2
- calculated total energy (eV per atom) = -3.49

Structure (CIF):
```
data_ErTm3Cd2
_space_group_name_H-M_alt 'P 4/m m m'
_space_group_IT_number 123
_space_group_name_Hall '-P 4 2'
_cell_length_a 3.5369
_cell_length_b 3.5369
_cell_length_c 13.0290
_cell_angle_alpha 90.00
_cell_angle_beta 90.00
_cell_angle_gamma 90.00
loop_
_atom_site_label
_atom_site_type_symbol
_atom_site_fract_x
_atom_site_fract_y
_atom_site_fract_z
Er1 Er 0.0000 0.0000 0.0000
Tm1 Tm 0.5000 0.5000 0.1880
Tm2 Tm 0.5000 0.5000 0.5000
Cd1 Cd 0.0000 0.0000 0.3466
```

=====

3.
PrHo2Co9: relaxed, GGA-PBE.

- magnetic moment (Bohr magnetons per cell) = 31.7
- ΔE_f (meV/atom) = -137.8
- calculated total energy (eV per atom) = -6.63

Structure (CIF):
```
data_PrHo2Co9
_space_group_name_H-M_alt 'R -3 m'
_space_group_IT_number 166
_space_group_name_Hall '-R 3 2"'
_cell_length_a 5.0250
_cell_length_b 5.0250
_cell_length_c 24.2665
_cell_angle_alpha 90.00
_cell_angle_beta 90.00
_cell_angle_gamma 120.00
loop_
_atom_site_label
_atom_site_type_symbol
_atom_site_fract_x
_atom_site_fract_y
_atom_site_fract_z
Pr1 Pr 0.0000 0.0000 0.0000
Ho1 Ho 0.0000 0.0000 0.1404
Co1 Co 0.0000 0.0000 0.3352
Co2 Co 0.0000 0.0000 0.5000
Co3 Co 0.0040 0.5020 0.9174
```

=====

4.
TaGeWCl2: relaxed, GGA-PBE.

- raw formation energy (eV per atom) = 0.881
- magnetic moment (Bohr magnetons per cell) = 0.0
- calculated total energy (eV per atom) = -5.74

Structure (CIF):
```
data_TaGeWCl2
_space_group_name_H-M_alt 'P 4/m m m'
_space_group_IT_number 123
_space_group_name_Hall '-P 4 2'
_cell_length_a 4.5176
_cell_length_b 4.5176
_cell_length_c 5.5048
_cell_angle_alpha 90.00
_cell_angle_beta 90.00
_cell_angle_gamma 90.00
loop_
_atom_site_label
_atom_site_type_symbol
_atom_site_fract_x
_atom_site_fract_y
_atom_site_fract_z
Ta1 Ta 0.0000 0.0000 0.0000
Ge1 Ge 0.5000 0.5000 0.0000
W1 W 0.0000 0.0000 0.5000
Cl1 Cl 0.0000 0.5000 0.5000
```

=====

5.
HoHf4N6: relaxed, GGA-PBE.

- raw formation energy (eV per atom) = -1.772
- magnetic moment (Bohr magnetons per cell) = 0.0
- calculated total energy (eV per atom) = -10.35

Structure (CIF):
```
data_HoHf4N6
_space_group_name_H-M_alt 'C m c m'
_space_group_IT_number 63
_space_group_name_Hall '-C 2c 2'
_cell_length_a 3.1710
_cell_length_b 10.6171
_cell_length_c 16.2950
_cell_angle_alpha 90.00
_cell_angle_beta 90.00
_cell_angle_gamma 90.00
loop_
_atom_site_label
_atom_site_type_symbol
_atom_site_fract_x
_atom_site_fract_y
_atom_site_fract_z
Ho1 Ho 0.0000 0.1474 0.2500
Hf1 Hf 0.0000 0.1070 0.6381
Hf2 Hf 0.0000 0.3694 0.5480
N1 N 0.0000 0.0000 0.0000
N2 N 0.0000 0.1929 0.7500
N3 N 0.0000 0.2710 0.0817
N4 N 0.0000 0.4659 0.6593
```

=====

6.
K2TbF6: relaxed, GGA-PBE.

- raw formation energy (eV per atom) = -3.091
- magnetic moment (Bohr magnetons per cell) = 4.3
- calculated total energy (eV per atom) = -5.10

Structure (CIF):
```
data_K2TbF6
_space_group_name_H-M_alt 'C 1 2/c 1'
_space_group_IT_number 15
_space_group_name_Hall '-C 2yc'
_cell_length_a 6.9970
_cell_length_b 11.4601
_cell_length_c 7.4099
_cell_angle_alpha 90.00
_cell_angle_beta 90.81
_cell_angle_gamma 90.00
loop_
_atom_site_label
_atom_site_type_symbol
_atom_site_fract_x
_atom_site_fract_y
_atom_site_fract_z
K1 K 0.0257 0.1617 0.0014
Tb1 Tb 0.0000 0.4620 0.2500
F1 F 0.0462 0.3935 0.9566
F2 F 0.1921 0.0155 0.2931
F3 F 0.2069 0.3074 0.2781
```

=====

7.
SrMgTa2: relaxed, GGA-PBE.

- magnetic moment (Bohr magnetons per cell) = 0.0
- ΔE_f (meV/atom) = 499.1
- calculated total energy (eV per atom) = -6.25

Structure (CIF):
```
data_SrMgTa2
_space_group_name_H-M_alt 'C m m 2'
_space_group_IT_number 35
_space_group_name_Hall 'C 2 -2'
_cell_length_a 3.5676
_cell_length_b 4.9392
_cell_length_c 10.4861
_cell_angle_alpha 90.00
_cell_angle_beta 90.00
_cell_angle_gamma 90.00
loop_
_atom_site_label
_atom_site_type_symbol
_atom_site_fract_x
_atom_site_fract_y
_atom_site_fract_z
Sr1 Sr 0.0000 0.0000 0.0000
Mg1 Mg 0.0000 0.5000 0.2924
Ta1 Ta 0.0000 0.0000 0.5257
Ta2 Ta 0.0000 0.5000 0.7243
```

=====

8.
In3OsCl: relaxed, GGA-PBE.

- raw formation energy (eV per atom) = -0.040
- magnetic moment (Bohr magnetons per cell) = 0.0
- relative energy among the computed polymorphs (eV per atom) = 0.000
- calculated total energy (eV per atom) = -4.30

Structure (CIF):
```
data_In3OsCl
_space_group_name_H-M_alt 'P m -3 m'
_space_group_IT_number 221
_space_group_name_Hall '-P 4 2 3'
_cell_length_a 5.2062
_cell_length_b 5.2062
_cell_length_c 5.2062
_cell_angle_alpha 90.00
_cell_angle_beta 90.00
_cell_angle_gamma 90.00
loop_
_atom_site_label
_atom_site_type_symbol
_atom_site_fract_x
_atom_site_fract_y
_atom_site_fract_z
In1 In 0.0000 0.0000 0.5000
Os1 Os 0.0000 0.0000 0.0000
Cl1 Cl 0.5000 0.5000 0.5000
```

=====

9.
CsPuSb2: relaxed, GGA-PBE.

- raw formation energy (eV per atom) = -0.291
- magnetic moment (Bohr magnetons per cell) = 14.1
- relative energy among the computed polymorphs (eV per atom) = 0.161
- calculated total energy (eV per atom) = -6.15

Structure (CIF):
```
data_CsPuSb2
_space_group_name_H-M_alt 'R -3 m'
_space_group_IT_number 166
_space_group_name_Hall '-R 3 2"'
_cell_length_a 4.7600
_cell_length_b 4.7600
_cell_length_c 25.5565
_cell_angle_alpha 90.00
_cell_angle_beta 90.00
_cell_angle_gamma 120.00
loop_
_atom_site_label
_atom_site_type_symbol
_atom_site_fract_x
_atom_site_fract_y
_atom_site_fract_z
Cs1 Cs 0.0000 0.0000 0.0000
Pu1 Pu 0.0000 0.0000 0.5000
Sb1 Sb 0.0000 0.0000 0.2219
```

=====

10.
LaEr6Sc2: relaxed, GGA-PBE.

- magnetic moment (Bohr magnetons per cell) = 0.0
- relative energy among the computed polymorphs (eV per atom) = 0.000
- ΔE_f (meV/atom) = 67.8
- calculated total energy (eV per atom) = -4.93

Structure (CIF):
```
data_LaEr6Sc2
_space_group_name_H-M_alt 'P -6 2 m'
_space_group_IT_number 189
_space_group_name_Hall 'P -6 -2'
_cell_length_a 9.4978
_cell_length_b 9.4978
_cell_length_c 3.4643
_cell_angle_alpha 90.00
_cell_angle_beta 90.00
_cell_angle_gamma 120.00
loop_
_atom_site_label
_atom_site_type_symbol
_atom_site_fract_x
_atom_site_fract_y
_atom_site_fract_z
La1 La 0.0000 0.0000 0.0000
Er1 Er 0.0000 0.3103 0.5000
Er2 Er 0.0000 0.6275 0.0000
Sc1 Sc 0.3333 0.6667 0.5000
```

=====

11.
BaMgPd2F8: relaxed, GGA-PBE.

- raw formation energy (eV per atom) = -2.173
- magnetic moment (Bohr magnetons per cell) = 4.0
- calculated total energy (eV per atom) = -4.58

Structure (CIF):
```
data_BaMgPd2F8
_space_group_name_H-M_alt 'P -3'
_space_group_IT_number 147
_space_group_name_Hall '-P 3'
_cell_length_a 5.3504
_cell_length_b 5.3504
_cell_length_c 7.2882
_cell_angle_alpha 90.00
_cell_angle_beta 90.00
_cell_angle_gamma 120.00
loop_
_atom_site_label
_atom_site_type_symbol
_atom_site_fract_x
_atom_site_fract_y
_atom_site_fract_z
Ba1 Ba 0.0000 0.0000 0.0000
Mg1 Mg 0.0000 0.0000 0.5000
Pd1 Pd 0.3333 0.6667 0.6557
F1 F 0.0667 0.7473 0.3345
F2 F 0.3333 0.6667 0.9434
```

=====

12.
Er6Bi3TeAs2: relaxed, GGA-PBE.

- raw formation energy (eV per atom) = -1.118
- magnetic moment (Bohr magnetons per cell) = 0.0
- calculated total energy (eV per atom) = -5.41

Structure (CIF):
```
data_Er6Bi3TeAs2
_space_group_name_H-M_alt 'C 1 2/m 1'
_space_group_IT_number 12
_space_group_name_Hall '-C 2y'
_cell_length_a 18.7639
_cell_length_b 4.2881
_cell_length_c 8.6440
_cell_angle_alpha 90.00
_cell_angle_beta 103.47
_cell_angle_gamma 90.00
loop_
_atom_site_label
_atom_site_type_symbol
_atom_site_fract_x
_atom_site_fract_y
_atom_site_fract_z
Er1 Er 0.0100 0.0000 0.2575
Er2 Er 0.1715 0.5000 0.1040
Er3 Er 0.1729 0.5000 0.5704
Bi1 Bi 0.0000 0.5000 0.5000
Bi2 Bi 0.1614 0.0000 0.8323
Te1 Te 0.0000 0.5000 0.0000
As1 As 0.1684 0.0000 0.3346
```